# 1
DFT (SCAN) results for a PBEsol-optimized structure of Mg2Tc.

Cell and atoms, written as POSCAR:
```
Mg2Tc
1.0
0.000 3.677 3.677
3.677 0.000 3.677
3.677 3.677 0.000
Mg Tc
4 2
Cartesian
0.000 0.000 0.000
1.839 1.839 0.000
1.839 0.000 1.839
0.000 1.839 1.839
2.758 2.758 2.758
4.597 4.597 4.597
```

Values from the calculation:
Its energy above the most stable polymorph in this dataset is 0.627 eV/atom. Its formation energy is 68 kJ per mole of atoms. As for the energy: -14.30 eV/atom. For the total moment, the calculation gives 0.001 μB per atom.

# 2
DFT (SCAN) results for a PBEsol-optimized structure of HfHg3Pd.

Cell and atoms, written as POSCAR:
```
HfHg3Pd
1.0
4.964 0.000 0.000
0.000 4.964 0.000
0.000 0.000 4.964
Hf Hg Pd
1 3 1
Cartesian
0.000 0.000 0.000
0.000 2.482 2.482
2.482 0.000 2.482
2.482 2.482 0.000
2.482 2.482 2.482
```

Values from the calculation:
Its formation energy is 68 kJ per mole of atoms. As for the energy: -59.28 eV/atom. For the total moment, the calculation gives 0.000 μB per atom.

# 3
DFT (SCAN) results for a PBEsol-optimized structure of NbPdS2Cl.

Cell and atoms, written as POSCAR:
```
NbPdS2Cl
1.0
4.635 0.000 0.000
0.000 4.635 0.000
0.000 0.000 4.521
Nb Pd S Cl
1 1 2 1
Cartesian
0.000 0.000 0.000
2.318 2.318 2.260
0.000 2.318 2.260
2.318 0.000 2.260
2.318 2.318 0.000
```

Values from the calculation:
Its uncorrected formation energy is 0.317 eV per atom. As for the energy: -18.31 eV/atom. For the total moment, the calculation gives 0.472 μB per atom.

# 4
DFT (SCAN) results for a PBEsol-optimized structure of TbGdP2O8.

Cell and atoms, written as POSCAR:
```
TbGdP2O8
1.0
-3.468 3.468 3.026
3.468 -3.468 3.026
3.468 3.468 -3.026
Tb Gd P O
1 1 2 8
Cartesian
0.000 0.000 0.000
0.000 3.468 1.513
3.468 0.000 1.513
0.000 0.000 3.026
2.249 0.000 0.555
4.686 0.000 0.555
3.468 2.261 -0.970
3.468 -1.218 2.471
0.000 1.207 2.057
3.468 1.218 2.471
2.261 3.468 0.970
1.207 0.000 3.996
```

Values from the calculation:
Its uncorrected formation energy is -3.325 eV per atom. As for the energy: -18.01 eV/atom. For the total moment, the calculation gives 0.582 μB per atom.

# 5
DFT (SCAN) results for a PBEsol-optimized structure of Cs3KP.

Cell and atoms, written as POSCAR:
```
Cs3KP
1.0
6.976 0.000 0.000
0.000 6.976 0.000
0.000 0.000 6.976
Cs K P
3 1 1
Cartesian
0.000 0.000 3.488
0.000 3.488 0.000
3.488 0.000 0.000
3.488 3.488 3.488
0.000 0.000 0.000
```

Values from the calculation:
Its formation energy is -3 kJ per mole of atoms. As for the energy: -26.46 eV/atom. For the total moment, the calculation gives 0.205 μB per atom.

# 6
DFT (SCAN) results for a PBEsol-optimized structure of LaSbRh.

Cell and atoms, written as POSCAR:
```
LaSbRh
1.0
7.469 0.000 0.000
0.000 4.642 0.000
0.000 0.000 7.820
La Sb Rh
4 4 4
Cartesian
0.130 1.160 1.516
3.604 3.481 5.426
3.865 1.160 2.394
7.339 3.481 6.304
1.349 1.160 4.599
2.385 3.481 0.689
5.084 1.160 7.131
6.119 3.481 3.221
1.463 3.481 3.234
2.271 1.160 7.145
5.197 3.481 0.676
6.006 1.160 4.586
```

Values from the calculation:
Its uncorrected formation energy is -1.152 eV per atom. As for the energy: -39.20 eV/atom. For the total moment, the calculation gives 0.000 μB per atom.

# 7
DFT (SCAN) results for a PBEsol-optimized structure of MnTcPS2.

Cell and atoms, written as POSCAR:
```
MnTcPS2
1.0
4.309 0.000 0.000
0.000 4.309 0.000
0.000 0.000 4.374
Mn Tc P S
1 1 1 2
Cartesian
0.000 0.000 0.000
2.154 2.154 2.187
0.000 0.000 2.187
0.000 2.154 0.000
2.154 0.000 0.000
```

Values from the calculation:
Its uncorrected formation energy is 0.711 eV per atom. As for the energy: -15.88 eV/atom. For the total moment, the calculation gives 1.277 μB per atom.

# 8
DFT (SCAN) results for a PBEsol-optimized structure of BaMn3Sb.

Cell and atoms, written as POSCAR:
```
BaMn3Sb
1.0
5.035 0.000 0.000
0.000 5.035 0.000
0.000 0.000 5.035
Ba Mn Sb
1 3 1
Cartesian
0.000 0.000 0.000
0.000 2.517 2.517
2.517 0.000 2.517
2.517 2.517 0.000
2.517 2.517 2.517
```

Values from the calculation:
Its energy above the most stable polymorph in this dataset is 0.000 eV/atom. Its uncorrected formation energy is 0.361 eV per atom. As for the energy: -25.95 eV/atom. For the total moment, the calculation gives 2.065 μB per atom.

# 9
DFT (SCAN) results for a PBEsol-optimized structure of Ba2Ag.

Cell and atoms, written as POSCAR:
```
Ba2Ag
1.0
-4.051 4.051 3.732
4.051 -4.051 3.732
4.051 4.051 -3.732
Ba Ag
4 2
Cartesian
5.534 1.483 0.000
1.483 2.567 0.000
2.567 1.483 3.732
-1.483 2.567 3.732
0.000 0.000 1.866
0.000 0.000 5.597
```

Values from the calculation:
Its energy above the most stable polymorph in this dataset is 0.036 eV/atom. Its formation energy is -14 kJ per mole of atoms. As for the energy: -36.97 eV/atom. For the total moment, the calculation gives 0.035 μB per atom.

# 10
DFT (SCAN) results for a PBEsol-optimized structure of Zr2Mn12GaSn11.

Cell and atoms, written as POSCAR:
```
Zr2Mn12GaSn11
1.0
5.287 0.000 0.000
-2.644 4.579 0.000
0.000 0.000 17.512
Zr Mn Ga Sn
2 12 1 11
Cartesian
0.000 0.000 0.000
0.000 0.000 8.756
-1.319 2.291 2.182
-1.319 2.291 15.330
1.319 2.291 2.182
1.319 2.291 15.330
0.000 4.576 2.182
0.000 4.576 15.330
2.644 0.036 6.653
2.644 0.036 10.859
1.353 2.271 6.653
1.353 2.271 10.859
3.934 2.271 6.653
3.934 2.271 10.859
2.644 1.526 8.756
0.000 0.000 2.892
0.000 0.000 5.894
0.000 0.000 11.618
0.000 0.000 14.620
0.000 3.053 0.000
0.000 3.053 4.431
0.000 3.053 8.756
0.000 3.053 13.081
2.644 1.526 0.000
2.644 1.526 4.405
2.644 1.526 13.107
```

Values from the calculation:
Its formation energy is -22 kJ per mole of atoms. As for the energy: -26.84 eV/atom. For the total moment, the calculation gives 1.047 μB per atom.